# Ba2NiTeO6, optimized geometry, DFT PBE with a Hubbard U
data_Ba2NiTeO6
_cell_length_a 10.248
_cell_length_b 10.248
_cell_length_c 10.248
_cell_angle_alpha 33.35
_cell_angle_beta 33.35
_cell_angle_gamma 33.35
_symmetry_space_group_name_H-M 'P 1'
_symmetry_Int_Tables_number 1
_symmetry_space_group_name_Hall 'P 1'
loop_
_atom_site_label
_atom_site_type_symbol
_atom_site_fract_x
_atom_site_fract_y
_atom_site_fract_z
_atom_site_occupancy
Ba1 Ba 0.126 0.126 0.126 1
Ba2 Ba 0.284 0.284 0.284 1
Ba3 Ba 0.716 0.716 0.716 1
Ba4 Ba 0.874 0.874 0.874 1
Ni1 Ni 0.406 0.406 0.406 1
Ni2 Ni 0.594 0.594 0.594 1
Te1 Te 0.000 0.000 0.000 1
Te2 Te 0.500 0.500 0.500 1
O1 O 0.154 0.612 0.612 1
O2 O 0.195 0.195 0.728 1
O3 O 0.195 0.728 0.195 1
O4 O 0.272 0.805 0.805 1
O5 O 0.388 0.388 0.846 1
O6 O 0.388 0.846 0.388 1
O7 O 0.612 0.154 0.612 1
O8 O 0.612 0.612 0.154 1
O9 O 0.728 0.195 0.195 1
O10 O 0.805 0.272 0.805 1
O11 O 0.805 0.805 0.272 1
O12 O 0.846 0.388 0.388 1
# Calculated density in g cm⁻³: 6.39
# E_tot in eV per atom: -5.831
# Magnetic moment in μB per formula unit: 1.95